No. 1
The following is a DFT calculation (PBE) of a relaxed structure of Na2TlBr.

Structure (POSCAR):
```
Na2TlBr
1.0
-5.408 -0.465 -1.333
-3.568 4.091 1.331
-2.177 3.225 -4.012
Na Tl Br
2 1 1
Cartesian
-2.788 1.713 -1.003
-8.364 5.138 -3.010
-5.576 3.426 -2.007
0.000 0.000 0.000
```

## Properties
Density ... 4442 kg/m³
Calculated volume ... 30.86 Å³/atom
SG ... Fm-3m, No. 225
Raw formation energy ... -0.43 eV/atom

No. 2
The following is a DFT calculation (PBE) of a relaxed structure of NaTlBr2.

Structure (POSCAR):
```
NaTlBr2
1.0
4.396 0.000 0.000
2.198 3.807 0.000
2.198 1.269 7.771
Na Tl Br
1 1 2
Cartesian
6.594 3.807 7.755
4.396 2.538 3.902
2.198 1.269 6.088
2.198 1.269 1.682
```

## Properties
Density ... 4944 kg/m³
Calculated volume ... 32.51 Å³/atom
SG ... R3m, No. 160
Raw formation energy ... -1.18 eV/atom

No. 3
The following is a DFT calculation (PBE) of a relaxed structure of NaTlBr4.

Structure (POSCAR):
```
NaTlBr4
1.0
-0.560 3.406 -5.924
-0.177 -6.431 -2.370
-10.426 -0.063 0.949
Na Tl Br
2 2 8
Cartesian
-8.306 1.466 -4.529
-2.857 -4.555 -2.816
-0.458 -1.883 -5.161
-5.491 -1.175 -2.659
-3.146 -0.895 -1.491
-8.785 -2.199 -5.785
-7.606 -0.509 -1.235
-5.591 0.451 -4.711
-2.788 -2.575 -6.180
-0.522 0.681 -4.622
-5.620 -3.739 -3.180
-10.592 -3.571 -2.177
```

## Properties
Density ... 3743 kg/m³
Calculated volume ... 40.45 Å³/atom
SG ... C222_1, No. 20
Raw formation energy ... -0.82 eV/atom

No. 4
The following is a DFT calculation (PBE) of a relaxed structure of Na5TlBr8.

Structure (POSCAR):
```
Na5TlBr8
1.0
1.704 -5.687 -6.135
-3.982 -2.600 7.090
-5.369 5.571 -3.609
Na Tl Br
5 1 8
Cartesian
-5.082 -0.498 -6.009
-3.806 -2.438 -1.523
-3.171 -4.426 3.609
-1.139 -4.143 0.477
-3.234 1.931 -1.386
-5.245 -0.586 1.979
-4.376 -1.677 4.243
-2.915 -0.256 0.742
-3.950 -4.291 0.819
-5.953 2.530 -0.577
-1.208 -3.482 -2.280
-7.012 1.128 2.981
-6.675 -1.539 -0.049
-4.180 -0.188 -3.270
```

## Properties
Density ... 3397 kg/m³
Calculated volume ... 33.47 Å³/atom
SG ... I-4, No. 82
Raw formation energy ... -1.20 eV/atom

No. 5
The following is a DFT calculation (PBE) of a relaxed structure of NaTlBr3.

Structure (POSCAR):
```
NaTlBr3
1.0
-1.377 4.551 -6.732
-5.610 -5.581 2.420
-0.289 10.576 7.209
Na Tl Br
4 4 12
Cartesian
-5.635 9.322 1.532
-2.025 6.304 3.799
-1.641 0.224 1.365
-5.251 3.242 -0.901
-2.949 2.498 4.815
-3.493 -0.515 -2.156
-0.495 4.040 -0.262
-1.172 11.088 0.740
-2.555 7.962 6.420
-4.725 6.409 0.769
-4.721 1.585 -3.523
-2.551 3.138 2.128
-4.340 4.853 5.197
-2.800 9.054 2.677
-2.936 4.693 -2.300
-4.476 0.493 0.221
-6.177 8.539 4.405
-1.961 8.670 -1.414
-5.315 0.877 4.312
-1.098 1.008 -1.508
```

## Properties
Density ... 4550 kg/m³
Calculated volume ... 34.09 Å³/atom
SG ... C2/c, No. 15
Raw formation energy ... -0.95 eV/atom

No. 6
The following is a DFT calculation (PBE) of a relaxed structure of Na2TlBr4.

Structure (POSCAR):
```
Na2TlBr4
1.0
5.761 0.000 0.000
0.000 5.761 0.000
2.880 2.880 7.810
Na Tl Br
2 1 4
Cartesian
5.761 5.761 5.694
2.880 2.880 2.115
0.000 0.000 0.000
5.761 5.761 2.927
2.880 2.880 4.883
0.000 2.880 0.000
2.880 0.000 0.000
```

## Properties
Density ... 3652 kg/m³
Calculated volume ... 37.03 Å³/atom
SG ... I4/mmm, No. 139
Raw formation energy ... -0.97 eV/atom

No. 7
The following is a DFT calculation (PBE) of a relaxed structure of Na2TlBr5.

Structure (POSCAR):
```
Na2TlBr5
1.0
-5.428 0.066 2.368
-0.085 -1.961 -7.546
1.321 -13.116 3.393
Na Tl Br
4 2 10
Cartesian
-4.038 -6.880 -1.660
-4.508 -2.216 -2.867
-0.153 -8.131 -0.125
0.316 -12.795 1.081
-3.491 -11.022 -0.289
-0.701 -3.989 -1.496
-4.046 -13.383 -1.497
-4.419 -9.682 -2.455
-1.238 -6.479 -2.657
-1.637 -2.515 -3.683
-3.595 -4.081 -0.722
-0.597 -10.930 -1.063
-2.954 -8.532 0.872
-2.555 -12.496 1.897
-0.146 -1.628 -0.288
0.227 -5.329 0.669
```

## Properties
Density ... 3712 kg/m³
Calculated volume ... 36.34 Å³/atom
SG ... Cmcm, No. 63
Raw formation energy ... -0.99 eV/atom

No. 8
The following is a DFT calculation (PBE) of a relaxed structure of Na3Tl2Br5.

Structure (POSCAR):
```
Na3Tl2Br5
1.0
-0.028 -3.843 2.218
-0.690 -5.857 -5.719
9.048 -3.020 -0.680
Na Tl Br
3 2 5
Cartesian
4.165 -6.360 -2.090
0.662 -4.602 -3.527
7.669 -8.119 -0.654
2.384 -2.506 0.127
5.947 -10.215 -4.308
0.000 0.000 0.000
5.129 -3.497 -1.556
3.202 -9.224 -2.625
1.430 -5.702 -0.984
6.900 -7.019 -3.197
```

## Properties
Density ... 4507 kg/m³
Calculated volume ... 32.32 Å³/atom
SG ... C2/m, No. 12
Raw formation energy ... -1.26 eV/atom